Model one:
# AcNd2Ir

A relaxed structure of AcNd2Ir (PBE, the Alexandria database).

For the density of states at the Fermi level, the calculation gives 1.09 states/eV/atom.

The space group is R-3m (No. 166, hexagonal axes) and the conventional cell measures 4.0412, 4.0412 and 32.8995 Å, with angles of 90.00, 90.00 and 120.00 degrees. The inequivalent atoms are Ac at (0.0000, 0.0000, 0.0000), Nd at (0.0000, 0.0000, 0.1184) and Ir at (0.0000, 0.0000, 0.5000).


Model two:
# AcNd2Ir

A relaxed structure of AcNd2Ir (PBE, the Alexandria database).

For the density of states at the Fermi level, the calculation gives 1.30 states/eV/atom.

The space group is P2_1/m (No. 11) and the conventional cell measures 4.0387, 9.9950 and 6.5912 Å, with angles of 90.00, 107.81 and 90.00 degrees. The inequivalent atoms are Ac at (0.0784, 0.2500, 0.1586), Nd at (0.3548, 0.0694, 0.7091) and Ir at (0.2376, 0.7500, 0.4748).


Stability check: which of them is least stable? model one.


Model one:
# AcNdNiIr

A relaxed structure of AcNdNiIr (PBE, the Alexandria database).

For the density of states at the Fermi level, the calculation gives 0.66 states/eV/atom.

The space group is Amm2 (No. 38) and the conventional cell measures 4.2568, 4.0787 and 11.2668 Å, with angles of 90.00, 90.00 and 90.00 degrees. The inequivalent atoms are Ac at (0.0000, 0.0000, 0.0000), Nd at (0.5000, 0.0000, 0.7222), Ni at (0.5000, 0.0000, 0.4278) and Ir at (0.0000, 0.0000, 0.2809).


Model two:
# AcNdNiIr

A relaxed structure of AcNdNiIr (PBE, the Alexandria database).

For the density of states at the Fermi level, the calculation gives 0.64 states/eV/atom.

The space group is F-43m (No. 216) and the conventional cell measures 7.2247, 7.2247 and 7.2247 Å, with angles of 90.00, 90.00 and 90.00 degrees. The inequivalent atoms are Ac at (0.0000, 0.0000, 0.0000), Nd at (0.0000, 0.0000, 0.5000), Ni at (0.2500, 0.2500, 0.2500) and Ir at (0.2500, 0.2500, 0.7500).


Stability check: which of them is least stable? model two.


Model one:
# Ac3Ni3Ir

A relaxed structure of Ac3Ni3Ir (PBE, the Alexandria database).

For the density of states at the Fermi level, the calculation gives 0.89 states/eV/atom.

The space group is P6_3/m (No. 176) and the conventional cell measures 8.7166, 8.7166 and 5.8153 Å, with angles of 90.00, 90.00 and 120.00 degrees. The inequivalent atoms are Ac at (0.0702, 0.6989, 0.2500), Ni at (0.0733, 0.6913, 0.7500) and Ir at (0.3333, 0.6667, 0.7500).


Model two:
# Ac3Ni3Ir

A relaxed structure of Ac3Ni3Ir (PBE, the Alexandria database).

For the density of states at the Fermi level, the calculation gives 0.95 states/eV/atom.

The space group is C2/m (No. 12) and the conventional cell measures 11.1060, 4.1485 and 15.3498 Å, with angles of 90.00, 107.75 and 90.00 degrees. The inequivalent atoms are Ac at (0.0232, 0.0000, 0.3871), Ac at (0.1047, 0.0000, 0.9230), Ac at (0.2395, 0.0000, 0.2283), Ni at (0.0316, 0.5000, 0.2255), Ni at (0.0988, 0.5000, 0.0731), Ni at (0.2007, 0.5000, 0.5315) and Ir at (0.2285, 0.5000, 0.3704).


Stability check: which of them is least stable? model one.


Model one:
# AcPmNiIr

A relaxed structure of AcPmNiIr (PBE, the Alexandria database).

For the density of states at the Fermi level, the calculation gives 0.66 states/eV/atom.

The space group is F-43m (No. 216) and the conventional cell measures 7.2000, 7.2000 and 7.2000 Å, with angles of 90.00, 90.00 and 90.00 degrees. The inequivalent atoms are Ac at (0.0000, 0.0000, 0.0000), Pm at (0.0000, 0.0000, 0.5000), Ni at (0.2500, 0.2500, 0.2500) and Ir at (0.2500, 0.2500, 0.7500).


Model two:
# AcPmNiIr

A relaxed structure of AcPmNiIr (PBE, the Alexandria database).

For the density of states at the Fermi level, the calculation gives 0.64 states/eV/atom.

The space group is Amm2 (No. 38) and the conventional cell measures 4.2390, 4.0605 and 11.2652 Å, with angles of 90.00, 90.00 and 90.00 degrees. The inequivalent atoms are Ac at (0.0000, 0.0000, 0.0000), Pm at (0.5000, 0.0000, 0.7222), Ni at (0.5000, 0.0000, 0.4265) and Ir at (0.0000, 0.0000, 0.2795).


Stability check: which of them is least stable? model one.


Model one:
# AcSmNiIr

A relaxed structure of AcSmNiIr (PBE, the Alexandria database).

For the density of states at the Fermi level, the calculation gives 0.65 states/eV/atom.

The space group is F-43m (No. 216) and the conventional cell measures 7.1833, 7.1833 and 7.1833 Å, with angles of 90.00, 90.00 and 90.00 degrees. The inequivalent atoms are Ac at (0.0000, 0.0000, 0.0000), Sm at (0.0000, 0.0000, 0.5000), Ni at (0.2500, 0.2500, 0.7500) and Ir at (0.2500, 0.2500, 0.2500).


Model two:
# AcSmNiIr

A relaxed structure of AcSmNiIr (PBE, the Alexandria database).

For the density of states at the Fermi level, the calculation gives 0.62 states/eV/atom.

The space group is Amm2 (No. 38) and the conventional cell measures 4.2282, 4.0468 and 11.2556 Å, with angles of 90.00, 90.00 and 90.00 degrees. The inequivalent atoms are Ac at (0.0000, 0.0000, 0.0000), Sm at (0.5000, 0.0000, 0.2779), Ni at (0.5000, 0.0000, 0.5744) and Ir at (0.0000, 0.0000, 0.7215).


Stability check: which of them is least stable? model one.


Model one:
# AcIrO4

A relaxed structure of AcIrO4 (PBE, the Alexandria database).

For the density of states at the Fermi level, the calculation gives 0.67 states/eV/atom.

The space group is P2_1/c (No. 14) and the conventional cell measures 7.7049, 5.7763 and 7.8310 Å, with angles of 90.00, 102.76 and 90.00 degrees. The inequivalent atoms are Ac at (0.1755, 0.2281, 0.4107), Ir at (0.3355, 0.7317, 0.2059), O at (0.1194, 0.5298, 0.1732), O at (0.1718, 0.5103, 0.6391), O at (0.3373, 0.6645, 0.9548) and O at (0.4524, 0.0716, 0.7854).


Model two:
# AcIrO4

A relaxed structure of AcIrO4 (PBE, the Alexandria database).

For the density of states at the Fermi level, the calculation gives 0.59 states/eV/atom.

The space group is P2_1/c (No. 14) and the conventional cell measures 5.5638, 5.6609 and 5.2570 Å, with angles of 90.00, 94.46 and 90.00 degrees. The inequivalent atoms are Ac at (0.0000, 0.0000, 0.0000), Ir at (0.5000, 0.0000, 0.5000), O at (0.1836, 0.1269, 0.4404) and O at (0.3659, 0.7207, 0.2716).


Stability check: which of them is least stable? model two.


Model one:
# AcIrO6

A relaxed structure of AcIrO6 (PBE, the Alexandria database).

For the density of states at the Fermi level, the calculation gives 0.14 states/eV/atom.

The space group is P-1 (No. 2) and the conventional cell measures 3.9487, 5.4658 and 5.4942 Å, with angles of 93.69, 107.47 and 106.43 degrees. The inequivalent atoms are Ac at (0.0000, 0.0000, 0.0000), Ir at (0.0000, 0.5000, 0.5000), O at (0.2949, 0.6345, 0.2656), O at (0.2973, 0.2582, 0.6242) and O at (0.3296, 0.7723, 0.7803).


Model two:
# AcIrO6

A relaxed structure of AcIrO6 (PBE, the Alexandria database).

For the density of states at the Fermi level, the calculation gives 0.26 states/eV/atom.

The space group is C2/m (No. 12) and the conventional cell measures 6.2371, 7.1937 and 4.7734 Å, with angles of 90.00, 102.49 and 90.00 degrees. The inequivalent atoms are Ac at (0.0000, 0.0000, 0.0000), Ir at (0.0000, 0.5000, 0.5000), O at (0.0991, 0.3187, 0.7792) and O at (0.2204, 0.0000, 0.5830).


Stability check: which of them is least stable? model two.


Model one:
# AcPaIr

A relaxed structure of AcPaIr (PBE, the Alexandria database).

For the density of states at the Fermi level, the calculation gives 1.41 states/eV/atom.

The space group is I4mm (No. 107) and the conventional cell measures 3.6731, 3.6731 and 12.1444 Å, with angles of 90.00, 90.00 and 90.00 degrees. The inequivalent atoms are Ac at (0.0000, 0.0000, 0.0000), Pa at (0.0000, 0.0000, 0.7113) and Ir at (0.0000, 0.0000, 0.2970).


Model two:
# AcPaIr

A relaxed structure of AcPaIr (PBE, the Alexandria database).

For the density of states at the Fermi level, the calculation gives 1.42 states/eV/atom.

The space group is P-6m2 (No. 187) and the conventional cell measures 4.5711, 4.5711 and 5.0286 Å, with angles of 90.00, 90.00 and 120.00 degrees. The inequivalent atoms are Ac at (0.0000, 0.0000, 0.0000), Pa at (0.6667, 0.3333, 0.5000) and Ir at (0.3333, 0.6667, 0.5000).


Model three:
# AcPaIr

A relaxed structure of AcPaIr (PBE, the Alexandria database).

For the density of states at the Fermi level, the calculation gives 1.65 states/eV/atom.

The space group is C2/m (No. 12) and the conventional cell measures 7.7997, 4.5041 and 10.9230 Å, with angles of 90.00, 90.04 and 90.00 degrees. The inequivalent atoms are Ac at (0.1666, 0.0000, 0.1852), Pa at (0.1671, 0.0000, 0.5619) and Ir at (0.0001, 0.5000, 0.3461).


Model four:
# AcPaIr

A relaxed structure of AcPaIr (PBE, the Alexandria database).

For the density of states at the Fermi level, the calculation gives 1.35 states/eV/atom.

The space group is Pnma (No. 62) and the conventional cell measures 23.7475, 3.9434 and 3.8737 Å, with angles of 90.00, 90.00 and 90.00 degrees. The inequivalent atoms are Ac at (0.0632, 0.2500, 0.2491), Pa at (0.1952, 0.7500, 0.2473) and Ir at (0.1830, 0.2500, 0.7473).


Stability check: which of them is least stable? model two.


Model one:
# Ac3IrPb2

A relaxed structure of Ac3IrPb2 (PBE, the Alexandria database).

For the density of states at the Fermi level, the calculation gives 0.72 states/eV/atom.

The space group is Cmmm (No. 65) and the conventional cell measures 5.7965, 17.4244 and 4.2421 Å, with angles of 90.00, 90.00 and 90.00 degrees. The inequivalent atoms are Ac at (0.0000, 0.0000, 0.0000), Ac at (0.0000, 0.3749, 0.5000), Ir at (0.0000, 0.5000, 0.0000) and Pb at (0.0000, 0.2014, 0.0000).


Model two:
# Ac3IrPb2

A relaxed structure of Ac3IrPb2 (PBE, the Alexandria database).

For the density of states at the Fermi level, the calculation gives 0.88 states/eV/atom.

The space group is C2/c (No. 15) and the conventional cell measures 16.2718, 6.6176 and 8.3624 Å, with angles of 90.00, 104.93 and 90.00 degrees. The inequivalent atoms are Ac at (0.0000, 0.0195, 0.2500), Ac at (0.1336, 0.4973, 0.5678), Ir at (0.0000, 0.4969, 0.2500) and Pb at (0.1834, 0.0028, 0.0899).


Stability check: which of them is least stable? model two.


Model one:
# Ac6Ir2Pb

A relaxed structure of Ac6Ir2Pb (PBE, the Alexandria database).

For the density of states at the Fermi level, the calculation gives 0.88 states/eV/atom.

The space group is C2/c (No. 15) and the conventional cell measures 16.3858, 10.3597 and 8.7137 Å, with angles of 90.00, 106.91 and 90.00 degrees. The inequivalent atoms are Ac at (0.0932, 0.1735, 0.1381), Ac at (0.1265, 0.4617, 0.8718), Ac at (0.1760, 0.1651, 0.6128), Ir at (0.2428, 0.4326, 0.6651) and Pb at (0.0000, 0.0966, 0.7500).


Model two:
# Ac6Ir2Pb

A relaxed structure of Ac6Ir2Pb (PBE, the Alexandria database).

For the density of states at the Fermi level, the calculation gives 1.03 states/eV/atom.

The space group is P-3m1 (No. 164) and the conventional cell measures 5.6081, 5.6081 and 12.3527 Å, with angles of 90.00, 90.00 and 120.00 degrees. The inequivalent atoms are Ac at (0.0000, 0.0000, 0.2110), Ac at (0.3333, 0.6667, 0.3844), Ac at (0.3333, 0.6667, 0.9174), Ir at (0.3333, 0.6667, 0.1523) and Pb at (0.0000, 0.0000, 0.5000).


Stability check: which of them is least stable? model one.


Model one:
# Ac4IrPb2

A relaxed structure of Ac4IrPb2 (PBE, the Alexandria database).

For the density of states at the Fermi level, the calculation gives 0.79 states/eV/atom.

The space group is I4/mmm (No. 139) and the conventional cell measures 5.6218, 5.6218 and 17.7860 Å, with angles of 90.00, 90.00 and 90.00 degrees. The inequivalent atoms are Ac at (0.0000, 0.0000, 0.1751), Ac at (0.0000, 0.5000, 0.0000), Ir at (0.0000, 0.0000, 0.0000) and Pb at (0.0000, 0.0000, 0.3645).


Model two:
# Ac4IrPb2

A relaxed structure of Ac4IrPb2 (PBE, the Alexandria database).

For the density of states at the Fermi level, the calculation gives 0.95 states/eV/atom.

The space group is C2/m (No. 12) and the conventional cell measures 12.8249, 4.8691 and 9.5358 Å, with angles of 90.00, 121.45 and 90.00 degrees. The inequivalent atoms are Ac at (0.0742, 0.0000, 0.3478), Ac at (0.1662, 0.5000, 0.0613), Ir at (0.0000, 0.0000, 0.0000) and Pb at (0.1389, 0.5000, 0.6549).


Stability check: which of them is least stable? model one.